Computed, not measured: crystalline CdCoSeO at its relaxed geometry at the PBE+U level of DFT.

mass density	6.1	g/cm³
E_tot	-4.163	eV/atom

a = 6.438 Å, b = 7.325 Å, c = 12.239 Å
α = 90.00°, β = 90.00°, γ = 90.00°
Space group Pbca (No. 61)
Inequivalent atoms, fractional coordinates:
Cd  0.001  0.224  0.001 x8
Co  0.182  0.002  0.317 x8
Se  0.213  0.501  0.124 x8
O  0.250  0.248  0.871 x8